1.
TbZrCdRh: optimized geometry, PBE.

Lattice parameters (Å, degrees): 4.9453 4.9453 4.9453 60.00 60.00 60.00
Sites, in units of the cell vectors:
Tb  0.0000  0.0000  0.0000
Zr  0.5000  0.5000  0.5000
Cd  0.7500  0.7500  0.7500
Rh  0.2500  0.2500  0.2500

Computed properties:
- density (g/cm³) = 9.04
- total magnetization (μB per cell) = 0.00
- formation enthalpy at 0 K (eV per formula unit) = -1.4
- calculated total energy (eV per atom) = -5.7112

2.
NaPaIrO4: optimized geometry, PBE.

Lattice parameters (Å, degrees): 7.3128 7.3128 7.3128 134.59 124.79 74.18
Sites, in units of the cell vectors:
Na  0.4298  0.1798  0.2500
Na  0.5702  0.8202  0.7500
Pa  0.0000  0.5000  0.5000
Pa  0.5000  0.5000  0.0000
Ir  0.0000  0.0000  0.5000
Ir  0.0000  0.5000  0.0000
O  0.1387  0.6936  0.4451
O  0.2515  0.3064  0.9451
O  0.2855  0.3082  0.5228
O  0.2855  0.7627  0.9772
O  0.7145  0.2373  0.0228
O  0.7145  0.6918  0.4772
O  0.7485  0.6936  0.0549
O  0.8613  0.3064  0.5549

Computed properties:
- E_form (uncorrected) (meV/atom) = -2095.5
- density (g/cm³) = 7.59
- total magnetization (μB per cell) = 0.00
- calculated total energy (eV per atom) = -7.7396

3.
K2MgBr2Cl2: optimized geometry, PBE.

Lattice parameters (Å, degrees): 9.0675 9.0675 9.0675 147.87 147.87 46.08
Sites, in units of the cell vectors:
K  0.1387  0.1387  0.0000
K  0.8613  0.8613  0.0000
Mg  0.5000  0.5000  0.0000
Br  0.3385  0.3385  0.0000
Br  0.6615  0.6615  0.0000
Cl  0.0000  0.5000  0.5000
Cl  0.5000  0.0000  0.5000

Computed properties:
- E_form (uncorrected) (meV/atom) = -1787.7
- density (g/cm³) = 2.63
- total magnetization (μB per cell) = 0.00
- calculated total energy (eV per atom) = -3.3346